1.
Material: Cs2HgAsBr6
Method: DFT, PBE-GGA
State: optimized geometry

raw total energy: -2.641 eV/atom
symmetry: Fm-3m
crystal system: cubic

Lattice parameters (Å, degrees): 7.9467 7.9467 7.9467 60.00 60.00 60.00
Last column: nearest neighbours and their distance in Å.
Fractional coordinates of all 10 atoms:
As: 0.0000 0.0000 0.0000  6 Br 2.68
Br: 0.7619 0.2381 0.2381  1 As 2.68, 1 Hg 2.94
Br: 0.2381 0.7619 0.2381  1 As 2.68, 1 Hg 2.94
Br: 0.7619 0.7619 0.2381  1 As 2.68, 1 Hg 2.94
Br: 0.2381 0.2381 0.7619  1 As 2.68, 1 Hg 2.94
Br: 0.7619 0.2381 0.7619  1 As 2.68, 1 Hg 2.94
Br: 0.2381 0.7619 0.7619  1 As 2.68, 1 Hg 2.94
Cs: 0.2500 0.2500 0.2500  12 Br 3.98
Cs: 0.7500 0.7500 0.7500  12 Br 3.98
Hg: 0.5000 0.5000 0.5000  6 Br 2.94

=====

2.
Material: Cs2AsPdBr6
Method: DFT, PBE-GGA
State: optimized geometry

raw total energy: -3.081 eV/atom
symmetry: Fm-3m
crystal system: cubic

Lattice parameters (Å, degrees): 7.6535 7.6535 7.6535 60.00 60.00 60.00
Last column: nearest neighbours and their distance in Å.
Fractional coordinates of all 10 atoms:
As: 0.0000 0.0000 0.0000  6 Br 2.71
Br: 0.7494 0.2506 0.2506  1 Pd 2.70, 1 As 2.71
Br: 0.2506 0.7494 0.2506  1 Pd 2.70, 1 As 2.71
Br: 0.7494 0.7494 0.2506  1 Pd 2.70, 1 As 2.71
Br: 0.2506 0.2506 0.7494  1 Pd 2.70, 1 As 2.71
Br: 0.7494 0.2506 0.7494  1 Pd 2.70, 1 As 2.71
Br: 0.2506 0.7494 0.7494  1 Pd 2.70, 1 As 2.71
Cs: 0.2500 0.2500 0.2500  12 Br 3.83
Cs: 0.7500 0.7500 0.7500  12 Br 3.83
Pd: 0.5000 0.5000 0.5000  6 Br 2.70

=====

3.
Material: CuAs2Br2
Method: DFT, PBE-GGA
State: optimized geometry

raw total energy: -2.598 eV/atom
symmetry: P4/mmm
crystal system: tetragonal

Lattice parameters (Å, degrees): 4.7268 4.7268 5.8212 90.00 90.00 90.00
Last column: nearest neighbours and their distance in Å.
Fractional coordinates of all 5 atoms:
As: 0.5000 0.5000 0.1991  1 As 2.32
As: 0.5000 0.5000 0.8009  1 As 2.32
Br: 0.5000 0.0000 0.5000  4 As 2.94
Br: 0.0000 0.5000 0.5000  4 As 2.94
Cu: 0.0000 0.0000 0.0000  8 As 3.54, 8 Br 3.75

=====

4.
Material: Cu2As3Br
Method: DFT, PBE-GGA
State: optimized geometry

raw total energy: -3.884 eV/atom
symmetry: C2/c
crystal system: monoclinic

Lattice parameters (Å, degrees): 6.2647 6.2647 6.7302 102.41 102.41 100.82
Last column: nearest neighbours and their distance in Å.
Fractional coordinates of all 12 atoms:
As: 0.4815 0.0145 0.0399  2 Cu 2.43, 2 As 2.47
As: 0.0568 0.1512 0.2878  2 Cu 2.43-2.46, 2 As 2.47
As: 0.4392 0.3450 0.2917  2 Cu 2.43-2.46, 2 As 2.47
As: 0.0145 0.4815 0.5399  2 Cu 2.43, 2 As 2.47
As: 0.1512 0.0568 0.7878  2 Cu 2.43-2.46, 2 As 2.47
As: 0.3450 0.4392 0.7917  2 Cu 2.43-2.46, 2 As 2.47
Br: 0.9070 0.5896 0.0402  2 Cu 2.62-2.63
Br: 0.5896 0.9070 0.5402  2 Cu 2.62-2.63
Cu: 0.4005 0.6687 0.1480  3 As 2.43-2.46, 1 Br 2.63
Cu: 0.0947 0.8272 0.4314  3 As 2.43-2.46, 1 Br 2.62
Cu: 0.6687 0.4005 0.6480  3 As 2.43-2.46, 1 Br 2.63
Cu: 0.8272 0.0947 0.9314  3 As 2.43-2.46, 1 Br 2.62

=====

5.
Material: CuAs7PS7Br
Method: DFT, PBE-GGA
State: optimized geometry

raw total energy: -4.438 eV/atom
symmetry: P2_1/c
crystal system: monoclinic

Lattice parameters (Å, degrees): 9.7877 13.8219 14.1281 90.00 96.43 90.00
Last column: nearest neighbours and their distance in Å.
Fractional coordinates of all 68 atoms:
As: 0.4104 0.3868 0.0090  2 S 2.24-2.31
As: 0.4620 0.1393 0.0517  2 S 2.25-2.32
As: 0.3809 0.6735 0.0744  2 S 2.26-2.30
As: 0.0195 0.0998 0.1539  1 S 2.28, 2 As 2.52
As: 0.6394 0.2404 0.1617  2 S 2.26-2.29
As: 0.9320 0.5546 0.1724  1 S 2.27, 2 As 2.51-2.52
As: 0.1551 0.9496 0.2026  1 S 2.27, 2 As 2.51-2.52
As: 0.8449 0.4496 0.2974  1 S 2.27, 2 As 2.51-2.52
As: 0.0680 0.0546 0.3276  1 S 2.27, 2 As 2.51-2.52
As: 0.3606 0.7404 0.3383  2 S 2.26-2.29
As: 0.9805 0.5998 0.3461  1 S 2.28, 2 As 2.52
As: 0.6191 0.1735 0.4256  2 S 2.26-2.30
As: 0.5380 0.6393 0.4483  2 S 2.25-2.32
As: 0.5896 0.8868 0.4910  2 S 2.24-2.31
As: 0.4104 0.1132 0.5090  2 S 2.24-2.31
As: 0.4620 0.3607 0.5517  2 S 2.25-2.32
As: 0.3809 0.8265 0.5744  2 S 2.26-2.30
As: 0.0195 0.4002 0.6539  1 S 2.28, 2 As 2.52
As: 0.6394 0.2596 0.6617  2 S 2.26-2.29
As: 0.9320 0.9454 0.6724  1 S 2.27, 2 As 2.51-2.52
As: 0.1551 0.5504 0.7026  1 S 2.27, 2 As 2.51-2.52
As: 0.8449 0.0504 0.7974  1 S 2.27, 2 As 2.51-2.52
As: 0.0680 0.4454 0.8276  1 S 2.27, 2 As 2.51-2.52
As: 0.3606 0.7596 0.8383  2 S 2.26-2.29
As: 0.9805 0.9002 0.8461  1 S 2.28, 2 As 2.52
As: 0.6191 0.3265 0.9256  2 S 2.26-2.30
As: 0.5380 0.8607 0.9483  2 S 2.25-2.32
As: 0.5896 0.6132 0.9910  2 S 2.24-2.31
Br: 0.6495 0.6485 0.2380  1 Cu 2.53
Br: 0.3505 0.1485 0.2620  1 Cu 2.53
Br: 0.6495 0.8515 0.7380  1 Cu 2.53
Br: 0.3505 0.3515 0.7620  1 Cu 2.53
Cu: 0.6166 0.8293 0.2155  1 P 2.23, 2 S 2.32-2.35
Cu: 0.3834 0.3293 0.2845  1 P 2.23, 2 S 2.32-2.35
Cu: 0.6166 0.6707 0.7155  1 P 2.23, 2 S 2.32-2.35
Cu: 0.3834 0.1707 0.7845  1 P 2.23, 2 S 2.32-2.35
P: 0.8112 0.9124 0.2145  3 S 2.09-2.11, 1 Cu 2.23
P: 0.1888 0.4124 0.2855  3 S 2.09-2.11, 1 Cu 2.23
P: 0.8112 0.5876 0.7145  3 S 2.09-2.11, 1 Cu 2.23
P: 0.1888 0.0876 0.7855  3 S 2.09-2.11, 1 Cu 2.23
S: 0.2927 0.2482 0.0171  2 As 2.24-2.25
S: 0.7735 0.2981 0.0540  2 As 2.26
S: 0.4430 0.8334 0.0893  2 As 2.30-2.32, 1 Cu 2.32
S: 0.8086 0.0305 0.1194  1 P 2.11, 1 As 2.28
S: 0.1297 0.4750 0.1521  1 P 2.09, 1 As 2.27
S: 0.5139 0.3799 0.1638  2 As 2.29-2.31, 1 Cu 2.35
S: 0.9867 0.8363 0.1837  1 P 2.10, 1 As 2.27
S: 0.0133 0.3363 0.3163  1 P 2.10, 1 As 2.27
S: 0.4861 0.8799 0.3362  2 As 2.29-2.31, 1 Cu 2.35
S: 0.8703 0.9750 0.3479  1 P 2.09, 1 As 2.27
S: 0.1914 0.5305 0.3806  1 P 2.11, 1 As 2.28
S: 0.5570 0.3334 0.4107  2 As 2.30-2.32, 1 Cu 2.32
S: 0.2265 0.7981 0.4460  2 As 2.26
S: 0.7073 0.7482 0.4829  2 As 2.24-2.25
S: 0.2927 0.2518 0.5171  2 As 2.24-2.25
S: 0.7735 0.2019 0.5540  2 As 2.26
S: 0.4430 0.6666 0.5893  2 As 2.30-2.32, 1 Cu 2.32
S: 0.8086 0.4695 0.6194  1 P 2.11, 1 As 2.28
S: 0.1297 0.0250 0.6521  1 P 2.09, 1 As 2.27
S: 0.5139 0.1201 0.6638  2 As 2.29-2.31, 1 Cu 2.35
S: 0.9867 0.6637 0.6837  1 P 2.10, 1 As 2.27
S: 0.0133 0.1637 0.8163  1 P 2.10, 1 As 2.27
S: 0.4861 0.6201 0.8362  2 As 2.29-2.31, 1 Cu 2.35
S: 0.8703 0.5250 0.8479  1 P 2.09, 1 As 2.27
S: 0.1914 0.9695 0.8806  1 P 2.11, 1 As 2.28
S: 0.5570 0.1666 0.9107  2 As 2.30-2.32, 1 Cu 2.32
S: 0.2265 0.7019 0.9460  2 As 2.26
S: 0.7073 0.7518 0.9829  2 As 2.24-2.25

=====

6.
Material: Rb2CuAsBr6
Method: DFT, PBE-GGA
State: optimized geometry

raw total energy: -2.951 eV/atom
symmetry: C2/m
crystal system: monoclinic

Lattice parameters (Å, degrees): 7.5588 7.5588 7.5587 119.98 119.98 60.02
Last column: nearest neighbours and their distance in Å.
Fractional coordinates of all 10 atoms:
As: 0.0000 0.0000 0.0000  6 Br 2.70
Br: 0.7470 0.2518 0.2520  1 Cu 2.65, 1 As 2.70
Br: 0.2518 0.7470 0.2520  1 Cu 2.65, 1 As 2.70
Br: 0.2525 0.2525 0.2534  1 Cu 2.65, 1 As 2.70
Br: 0.7475 0.7475 0.7466  1 Cu 2.65, 1 As 2.70
Br: 0.7482 0.2530 0.7480  1 Cu 2.65, 1 As 2.70
Br: 0.2530 0.7482 0.7480  1 Cu 2.65, 1 As 2.70
Cu: 0.5000 0.5000 0.5000  6 Br 2.65
Rb: 0.7498 0.7498 0.2500  12 Br 3.77-3.79
Rb: 0.2502 0.2502 0.7500  12 Br 3.77-3.79

=====

7.
Material: Rb2CuAsBr6
Method: DFT, PBE-GGA
State: optimized geometry

raw total energy: -2.951 eV/atom
symmetry: R-3
crystal system: trigonal

Lattice parameters (Å, degrees): 7.5625 7.5625 7.5625 59.98 59.98 59.98
Last column: nearest neighbours and their distance in Å.
Fractional coordinates of all 10 atoms:
As: 0.0000 0.0000 0.0000  6 Br 2.70
Br: 0.2537 0.7476 0.2514  1 Cu 2.65, 1 As 2.70
Br: 0.7486 0.7463 0.2524  1 Cu 2.65, 1 As 2.70
Br: 0.7476 0.2514 0.2537  1 Cu 2.65, 1 As 2.70
Br: 0.2524 0.7486 0.7463  1 Cu 2.65, 1 As 2.70
Br: 0.2514 0.2537 0.7476  1 Cu 2.65, 1 As 2.70
Br: 0.7463 0.2524 0.7486  1 Cu 2.65, 1 As 2.70
Cu: 0.5000 0.5000 0.5000  6 Br 2.65
Rb: 0.2501 0.2501 0.2501  12 Br 3.77-3.79
Rb: 0.7499 0.7499 0.7499  12 Br 3.77-3.79

=====

8.
Material: Rb2CuAsBr6
Method: DFT, PBE-GGA
State: optimized geometry

raw total energy: -2.951 eV/atom
symmetry: P1
crystal system: triclinic

Lattice parameters (Å, degrees): 7.5634 7.5644 10.6961 89.99 90.00 90.00
Last column: nearest neighbours and their distance in Å.
Fractional coordinates of all 20 atoms:
As: 0.0499 0.0503 0.0000  6 Br 2.70
As: 0.5501 0.5496 0.5000  6 Br 2.70
Br: 0.2991 0.3051 0.0004  1 Cu 2.65, 1 As 2.70
Br: 0.3049 0.8011 0.0008  1 Cu 2.65, 1 As 2.70
Br: 0.5511 0.5493 0.2479  1 Cu 2.65, 1 As 2.70
Br: 0.0488 0.0505 0.2521  1 Cu 2.65, 1 As 2.70
Br: 0.2926 0.7964 0.4991  1 Cu 2.65, 1 As 2.70
Br: 0.3034 0.2925 0.4997  1 Cu 2.65, 1 As 2.70
Br: 0.7969 0.8070 0.5003  1 Cu 2.65, 1 As 2.70
Br: 0.8074 0.3031 0.5008  1 Cu 2.65, 1 As 2.70
Br: 0.0512 0.0500 0.7479  1 Cu 2.65, 1 As 2.70
Br: 0.5489 0.5503 0.7521  1 Cu 2.65, 1 As 2.70
Br: 0.7950 0.2994 0.9992  1 Cu 2.65, 1 As 2.70
Br: 0.8006 0.7955 0.9996  1 Cu 2.65, 1 As 2.70
Cu: 0.5498 0.5502 0.0000  6 Br 2.65
Cu: 0.0500 0.0496 0.5000  6 Br 2.65
Rb: 0.0499 0.5500 0.2497  12 Br 3.74-3.82
Rb: 0.5500 0.0498 0.2501  12 Br 3.74-3.83
Rb: 0.5501 0.0499 0.7500  12 Br 3.74-3.83
Rb: 0.0501 0.5503 0.7502  12 Br 3.74-3.83